# NiAgPd2F | Alexandria via LeMat-Bulk | PBE+U | optimized geometry
data_NiAgPd2F
_cell_length_a 5.091
_cell_length_b 5.091
_cell_length_c 3.998
_cell_angle_alpha 90.00
_cell_angle_beta 90.00
_cell_angle_gamma 90.00
_symmetry_space_group_name_H-M 'P 4/m m m'
_symmetry_Int_Tables_number 123
_symmetry_space_group_name_Hall '-P 4 2'
loop_
_atom_site_label
_atom_site_fract_x
_atom_site_fract_y
_atom_site_fract_z
Ni1 0.000 0.000 0.000
Ag1 0.500 0.500 0.500
Pd1 0.000 0.500 0.500
F1 0.500 0.500 0.000
# * total DFT energy (no corrections): -2.8037 eV/atom
# * magnetization: 0.209 μB/atom